No. 1
Material: RbAs4H3O12
Method: DFT, PBEsol
State: relaxed

- Symmetry: P-1 (2)
- Final energy: -5.96 eV per atom

Cell lengths 5.194, 7.043, 7.813 Å; angles 115.72, 94.69, 95.14 degrees
Sites, in units of the cell vectors:
Rb (0.000, 0.000, 0.000)
As (0.153, 0.364, 0.687)
As (0.401, 0.691, 0.565)
As (0.599, 0.309, 0.435)
As (0.847, 0.636, 0.313)
H (0.000, 0.500, 0.000)
H (0.487, 0.056, 0.699)
H (0.513, 0.944, 0.301)
O (0.096, 0.351, 0.891)
O (0.108, 0.783, 0.490)
O (0.225, 0.630, 0.741)
O (0.307, 0.415, 0.382)
O (0.423, 0.237, 0.614)
O (0.498, 0.050, 0.247)
O (0.502, 0.950, 0.753)
O (0.577, 0.763, 0.386)
O (0.693, 0.585, 0.618)
O (0.775, 0.370, 0.259)
O (0.892, 0.217, 0.510)
O (0.904, 0.649, 0.109)

No. 2
Material: ReAsHO2
Method: DFT, PBEsol
State: relaxed

- Symmetry: P4/mmm (123)
- Final energy: -5.56 eV per atom

Cell lengths 3.518, 3.518, 5.277 Å; angles 90.00, 90.00, 90.00 degrees
Sites, in units of the cell vectors:
Re (0.000, 0.000, 0.000)
As (0.000, 0.000, 0.500)
H (0.500, 0.500, 0.000)
O (0.000, 0.500, 0.500)
O (0.500, 0.000, 0.500)

No. 3
Material: AsH2RhO
Method: DFT, PBEsol
State: relaxed

- Symmetry: P4/mmm (123)
- Final energy: -4.48 eV per atom

Cell lengths 3.336, 3.336, 4.321 Å; angles 90.00, 90.00, 90.00 degrees
Sites, in units of the cell vectors:
As (0.000, 0.000, 0.000)
H (0.000, 0.500, 0.000)
H (0.500, 0.000, 0.000)
Rh (0.500, 0.500, 0.500)
O (0.000, 0.000, 0.500)

No. 4
Material: SrAsH3O5
Method: DFT, PBEsol
State: relaxed

- Symmetry: Pbca (61)
- Final energy: -5.94 eV per atom

Cell lengths 7.511, 8.360, 14.106 Å; angles 90.00, 90.00, 90.00 degrees
Sites, in units of the cell vectors:
Sr (0.135, 0.175, 0.085)
Sr (0.135, 0.325, 0.585)
Sr (0.365, 0.675, 0.085)
Sr (0.365, 0.825, 0.585)
Sr (0.635, 0.175, 0.415)
Sr (0.635, 0.325, 0.915)
Sr (0.865, 0.675, 0.415)
Sr (0.865, 0.825, 0.915)
As (0.145, 0.053, 0.387)
As (0.145, 0.447, 0.887)
As (0.355, 0.553, 0.387)
As (0.355, 0.947, 0.887)
As (0.645, 0.053, 0.113)
As (0.645, 0.447, 0.613)
As (0.855, 0.553, 0.113)
As (0.855, 0.947, 0.613)
H (0.057, 0.676, 0.619)
H (0.057, 0.824, 0.119)
H (0.101, 0.606, 0.722)
H (0.101, 0.894, 0.222)
H (0.222, 0.743, 0.806)
H (0.222, 0.757, 0.306)
H (0.278, 0.243, 0.806)
H (0.278, 0.257, 0.306)
H (0.399, 0.106, 0.722)
H (0.399, 0.394, 0.222)
H (0.443, 0.176, 0.619)
H (0.443, 0.324, 0.119)
H (0.557, 0.676, 0.881)
H (0.557, 0.824, 0.381)
H (0.601, 0.606, 0.778)
H (0.601, 0.894, 0.278)
H (0.722, 0.743, 0.694)
H (0.722, 0.757, 0.194)
H (0.778, 0.243, 0.694)
H (0.778, 0.257, 0.194)
H (0.899, 0.106, 0.778)
H (0.899, 0.394, 0.278)
H (0.943, 0.176, 0.881)
H (0.943, 0.324, 0.381)
O (0.014, 0.659, 0.055)
O (0.014, 0.841, 0.555)
O (0.075, 0.624, 0.839)
O (0.075, 0.876, 0.339)
O (0.139, 0.602, 0.654)
O (0.139, 0.898, 0.154)
O (0.169, 0.539, 0.454)
O (0.169, 0.961, 0.954)
O (0.197, 0.165, 0.284)
O (0.197, 0.335, 0.784)
O (0.303, 0.665, 0.284)
O (0.303, 0.835, 0.784)
O (0.331, 0.039, 0.454)
O (0.331, 0.461, 0.954)
O (0.361, 0.102, 0.654)
O (0.361, 0.398, 0.154)
O (0.425, 0.124, 0.839)
O (0.425, 0.376, 0.339)
O (0.486, 0.159, 0.055)
O (0.486, 0.341, 0.555)
O (0.514, 0.659, 0.445)
O (0.514, 0.841, 0.945)
O (0.575, 0.624, 0.661)
O (0.575, 0.876, 0.161)
O (0.639, 0.602, 0.846)
O (0.639, 0.898, 0.346)
O (0.669, 0.539, 0.046)
O (0.669, 0.961, 0.546)
O (0.697, 0.165, 0.216)
O (0.697, 0.335, 0.716)
O (0.803, 0.665, 0.216)
O (0.803, 0.835, 0.716)
O (0.831, 0.039, 0.046)
O (0.831, 0.461, 0.546)
O (0.861, 0.102, 0.846)
O (0.861, 0.398, 0.346)
O (0.925, 0.124, 0.661)
O (0.925, 0.376, 0.161)
O (0.986, 0.159, 0.445)
O (0.986, 0.341, 0.945)